Record 1
# ZrTl2Re

A relaxed ZrTl2Re crystal (GGA-PBE, the Alexandria database).

Cell: 5.275 5.275 5.275 Å, 130.86 130.86 72.04°
Atoms (fractional coordinates):
Zr (0.000, 0.000, 0.000)
Tl (0.250, 0.750, 0.500)
Tl (0.750, 0.250, 0.500)
Re (0.500, 0.500, 0.000)

## Properties
DOS at the Fermi energy: 0.80 states/eV per atom
total magnetic moment: 0.00 μB per formula unit
ΔE to the lowest computed polymorph: 1.07 eV per formula unit
DFT formation energy: 588.6 meV/atom

Record 2
# Zr2TlRe

A relaxed Zr2TlRe crystal (GGA-PBE, the Alexandria database).

Cell: 4.819 4.819 4.819 Å, 60.00 60.00 60.00°
Atoms (fractional coordinates):
Zr (0.000, 0.000, 0.000)
Zr (0.250, 0.250, 0.250)
Tl (0.750, 0.750, 0.750)
Re (0.500, 0.500, 0.500)

## Properties
DOS at the Fermi energy: 0.47 states/eV per atom
total magnetic moment: 0.00 μB per formula unit
ΔE to the lowest computed polymorph: 1.65 eV per formula unit
DFT formation energy: 232.1 meV/atom

Record 3
# ZrTl2Re

A relaxed ZrTl2Re crystal (GGA-PBE, the Alexandria database).

Cell: 10.121 10.121 10.121 Å, 18.75 18.75 18.75°
Atoms (fractional coordinates):
Zr (0.000, 0.000, 0.000)
Tl (0.242, 0.242, 0.242)
Tl (0.477, 0.477, 0.477)
Re (0.729, 0.729, 0.729)

## Properties
DOS at the Fermi energy: 0.92 states/eV per atom
total magnetic moment: 0.00 μB per formula unit
ΔE to the lowest computed polymorph: 0.22 eV per formula unit
DFT formation energy: 375.9 meV/atom

Record 4
# ZrTl2Re

A relaxed ZrTl2Re crystal (GGA-PBE, the Alexandria database).

Cell: 5.380 5.380 5.380 Å, 132.67 132.67 69.18°
Atoms (fractional coordinates):
Zr (0.000, 0.000, 0.000)
Tl (0.500, 0.500, 0.000)
Tl (0.750, 0.250, 0.500)
Re (0.250, 0.750, 0.500)

## Properties
DOS at the Fermi energy: 0.80 states/eV per atom
total magnetic moment: 0.00 μB per formula unit
ΔE to the lowest computed polymorph: 1.00 eV per formula unit
DFT formation energy: 571.6 meV/atom

Record 5
# ZrTl3Re

A relaxed ZrTl3Re crystal (GGA-PBE, the Alexandria database).

Cell: 5.238 5.238 5.238 Å, 90.00 90.00 90.00°
Atoms (fractional coordinates):
Zr (0.000, 0.000, 0.000)
Tl (0.000, 0.500, 0.500)
Tl (0.500, 0.000, 0.500)
Tl (0.500, 0.500, 0.000)
Re (0.500, 0.500, 0.500)

## Properties
DOS at the Fermi energy: 1.58 states/eV per atom
total magnetic moment: 0.00 μB per formula unit
ΔE to the lowest computed polymorph: 0.00 eV per formula unit
DFT formation energy: 1186.6 meV/atom

Record 6
# ZrTl2Re

A relaxed ZrTl2Re crystal (GGA-PBE, the Alexandria database).

Cell: 3.550 4.826 4.875 Å, 90.00 90.00 90.00°
Atoms (fractional coordinates):
Zr (0.000, 0.000, 0.000)
Tl (0.000, 0.500, 0.500)
Tl (0.500, 0.500, 0.000)
Re (0.500, 0.000, 0.500)

## Properties
DOS at the Fermi energy: 0.65 states/eV per atom
total magnetic moment: 0.00 μB per formula unit
ΔE to the lowest computed polymorph: 0.83 eV per formula unit
DFT formation energy: 528.6 meV/atom

Record 7
# Zr2TlRe

A relaxed Zr2TlRe crystal (GGA-PBE, the Alexandria database).

Cell: 6.254 6.254 6.254 Å, 102.51 102.51 124.53°
Atoms (fractional coordinates):
Zr (0.079, 0.625, 0.954)
Zr (0.375, 0.329, 0.454)
Zr (0.671, 0.125, 0.046)
Zr (0.875, 0.921, 0.546)
Tl (0.250, 0.750, 0.500)
Tl (0.500, 0.500, 0.000)
Re (0.000, 0.000, 0.000)
Re (0.750, 0.250, 0.500)

## Properties
DOS at the Fermi energy: 0.43 states/eV per atom
total magnetic moment: 0.00 μB per formula unit
ΔE to the lowest computed polymorph: 2.49 eV per formula unit
DFT formation energy: 440.9 meV/atom

Record 8
# ZrTl2Re

A relaxed ZrTl2Re crystal (GGA-PBE, the Alexandria database).

Cell: 5.759 5.759 5.759 Å, 145.40 128.23 63.78°
Atoms (fractional coordinates):
Zr (0.000, 0.000, 0.000)
Tl (0.264, 0.764, 0.500)
Tl (0.736, 0.236, 0.500)
Re (0.500, 0.500, 0.000)

## Properties
DOS at the Fermi energy: 0.63 states/eV per atom
total magnetic moment: 0.00 μB per formula unit
ΔE to the lowest computed polymorph: 0.75 eV per formula unit
DFT formation energy: 508.3 meV/atom

Record 9
# Zr2TlRe

A relaxed Zr2TlRe crystal (GGA-PBE, the Alexandria database).

Cell: 3.496 3.496 6.690 Å, 90.00 90.00 90.00°
Atoms (fractional coordinates):
Zr (0.000, 0.000, 0.000)
Zr (0.500, 0.500, 0.262)
Tl (0.500, 0.500, 0.721)
Re (0.000, 0.000, 0.465)

## Properties
DOS at the Fermi energy: 0.41 states/eV per atom
total magnetic moment: 0.00 μB per formula unit
ΔE to the lowest computed polymorph: 1.39 eV per formula unit
DFT formation energy: 166.6 meV/atom

Record 10
# Zr4TlRe

A relaxed Zr4TlRe crystal (GGA-PBE, the Alexandria database).

Cell: 7.976 7.976 7.976 Å, 34.97 34.97 34.97°
Atoms (fractional coordinates):
Zr (0.115, 0.115, 0.115)
Zr (0.365, 0.365, 0.365)
Zr (0.635, 0.635, 0.635)
Zr (0.885, 0.885, 0.885)
Tl (0.500, 0.500, 0.500)
Re (0.000, 0.000, 0.000)

## Properties
DOS at the Fermi energy: 1.15 states/eV per atom
total magnetic moment: 0.00 μB per formula unit
ΔE to the lowest computed polymorph: 0.00 eV per formula unit
DFT formation energy: 171.8 meV/atom

Record 11
# Zr2TlRe

A relaxed Zr2TlRe crystal (GGA-PBE, the Alexandria database).

Cell: 9.374 9.374 9.374 Å, 20.22 20.22 20.22°
Atoms (fractional coordinates):
Zr (0.239, 0.239, 0.239)
Zr (0.761, 0.761, 0.761)
Tl (0.000, 0.000, 0.000)
Re (0.500, 0.500, 0.500)

## Properties
DOS at the Fermi energy: 0.91 states/eV per atom
total magnetic moment: 0.00 μB per formula unit
ΔE to the lowest computed polymorph: 0.87 eV per formula unit
DFT formation energy: 37.5 meV/atom

Record 12
# ZrTl2Re

A relaxed ZrTl2Re crystal (GGA-PBE, the Alexandria database).

Cell: 4.847 4.847 4.847 Å, 60.00 60.00 60.00°
Atoms (fractional coordinates):
Zr (0.000, 0.000, 0.000)
Tl (0.250, 0.250, 0.250)
Tl (0.750, 0.750, 0.750)
Re (0.500, 0.500, 0.500)

## Properties
DOS at the Fermi energy: 0.57 states/eV per atom
total magnetic moment: 0.00 μB per formula unit
ΔE to the lowest computed polymorph: 1.11 eV per formula unit
DFT formation energy: 597.8 meV/atom

Record 13
# ZrTl2Re

A relaxed ZrTl2Re crystal (GGA-PBE, the Alexandria database).

Cell: 6.308 6.308 6.308 Å, 102.57 102.57 124.39°
Atoms (fractional coordinates):
Zr (0.000, 0.000, 0.000)
Zr (0.750, 0.250, 0.500)
Tl (0.146, 0.625, 0.021)
Tl (0.375, 0.396, 0.521)
Tl (0.604, 0.125, 0.979)
Tl (0.875, 0.854, 0.479)
Re (0.250, 0.750, 0.500)
Re (0.500, 0.500, 0.000)

## Properties
DOS at the Fermi energy: 0.52 states/eV per atom
total magnetic moment: 1.09 μB per formula unit
ΔE to the lowest computed polymorph: 2.12 eV per formula unit
DFT formation energy: 850.7 meV/atom

Record 14
# TmRe6

A relaxed TmRe6 crystal (GGA-PBE, the Alexandria database).

Cell: 5.963 5.963 5.963 Å, 109.47 109.47 109.47°
Atoms (fractional coordinates):
Tm (0.000, 0.000, 0.000)
Re (0.250, 0.500, 0.750)
Re (0.250, 0.750, 0.500)
Re (0.500, 0.250, 0.750)
Re (0.500, 0.750, 0.250)
Re (0.750, 0.250, 0.500)
Re (0.750, 0.500, 0.250)

## Properties
DOS at the Fermi energy: 0.84 states/eV per atom
total magnetic moment: 0.00 μB per formula unit
ΔE to the lowest computed polymorph: 7.66 eV per formula unit
DFT formation energy: 1105.2 meV/atom

Record 15
# TmRe4

A relaxed TmRe4 crystal (GGA-PBE, the Alexandria database).

Cell: 4.653 4.653 4.653 Å, 90.00 90.00 90.00°
Atoms (fractional coordinates):
Tm (0.000, 0.000, 0.000)
Re (0.000, 0.000, 0.500)
Re (0.000, 0.500, 0.000)
Re (0.500, 0.000, 0.000)
Re (0.500, 0.500, 0.500)

## Properties
DOS at the Fermi energy: 0.97 states/eV per atom
total magnetic moment: 1.04 μB per formula unit
DFT formation energy: 3239.9 meV/atom